Record 1
{
  "formula": "TlBiPb2O5",
  "functional": "PBE",
  "state": "optimized geometry",
  "final_energy_ev_per_atom": -5.23,
  "formation_energy_uncorrected_ev_per_fu": -8.6,
  "lattice_angstrom": [[3.655, 0.000, 0.000], [-1.827, 7.048, 0.000], [0.000, 0.000, 13.017]],
  "species": ["Tl", "Tl", "Bi", "Bi", "Pb", "Pb", "Pb", "Pb", "O", "O", "O", "O", "O", "O", "O", "O", "O", "O"],
  "fractional_positions": [[0.730, 0.460, 0.494], [0.270, 0.540, 0.994], [0.548, 0.097, 0.941], [0.452, 0.903, 0.441], [0.823, 0.647, 0.765], [0.073, 0.146, 0.673], [0.177, 0.353, 0.265], [0.927, 0.854, 0.173], [0.446, 0.892, 0.073], [0.712, 0.424, 0.891], [0.380, 0.759, 0.860], [0.217, 0.434, 0.605], [0.901, 0.801, 0.521], [0.554, 0.108, 0.573], [0.288, 0.576, 0.391], [0.620, 0.241, 0.360], [0.783, 0.566, 0.105], [0.099, 0.199, 0.021]]
}

Record 2
{
  "formula": "TmBiPb2O5",
  "functional": "PBE",
  "state": "optimized geometry",
  "final_energy_ev_per_atom": -6.29,
  "formation_energy_uncorrected_ev_per_fu": -16.1,
  "lattice_angstrom": [[3.649, 0.000, 0.000], [-1.825, 6.879, 0.000], [0.000, 0.000, 13.093]],
  "species": ["Tm", "Tm", "Bi", "Bi", "Pb", "Pb", "Pb", "Pb", "O", "O", "O", "O", "O", "O", "O", "O", "O", "O"],
  "fractional_positions": [[0.727, 0.455, 0.496], [0.273, 0.545, 0.996], [0.550, 0.100, 0.940], [0.450, 0.900, 0.440], [0.824, 0.648, 0.767], [0.072, 0.145, 0.669], [0.176, 0.352, 0.267], [0.928, 0.855, 0.169], [0.438, 0.876, 0.067], [0.718, 0.436, 0.900], [0.379, 0.758, 0.862], [0.218, 0.435, 0.603], [0.898, 0.797, 0.520], [0.562, 0.124, 0.567], [0.282, 0.564, 0.400], [0.621, 0.242, 0.362], [0.782, 0.565, 0.103], [0.102, 0.203, 0.020]]
}

Record 3
{
  "formula": "UBiPbO6",
  "functional": "PBE",
  "state": "optimized geometry",
  "final_energy_ev_per_atom": -7.31,
  "formation_energy_uncorrected_ev_per_fu": -17.2,
  "lattice_angstrom": [[-3.331, -4.021, 2.826], [5.790, 0.453, 1.232], [-1.986, 6.522, 6.939]],
  "species": ["U", "U", "Bi", "Bi", "Pb", "Pb", "O", "O", "O", "O", "O", "O", "O", "O", "O", "O", "O", "O"],
  "fractional_positions": [[0.667, 0.333, 0.250], [0.333, 0.667, 0.750], [0.333, 0.667, 0.250], [0.667, 0.333, 0.750], [0.000, 0.000, 0.000], [0.000, 0.000, 0.500], [0.666, 0.631, 0.135], [0.964, 0.334, 0.135], [0.334, 0.964, 0.635], [0.036, 0.666, 0.865], [0.369, 0.334, 0.365], [0.964, 0.631, 0.365], [0.631, 0.964, 0.865], [0.666, 0.036, 0.365], [0.036, 0.369, 0.635], [0.369, 0.036, 0.135], [0.631, 0.666, 0.635], [0.334, 0.369, 0.865]]
}

Record 4
{
  "formula": "UBiPb2O8",
  "functional": "PBE",
  "state": "optimized geometry",
  "final_energy_ev_per_atom": -6.87,
  "formation_energy_uncorrected_ev_per_fu": -20.2,
  "lattice_angstrom": [[5.228, -0.037, -0.003], [-0.001, 5.233, -0.006], [0.004, 0.008, 7.048]],
  "species": ["U", "Bi", "Pb", "Pb", "O", "O", "O", "O", "O", "O", "O", "O"],
  "fractional_positions": [[0.000, 0.000, 0.000], [0.000, 0.000, 0.500], [0.500, 0.500, 0.751], [0.500, 0.500, 0.249], [0.183, 0.817, 0.220], [0.702, 0.701, 0.000], [0.817, 0.183, 0.220], [0.817, 0.183, 0.780], [0.298, 0.299, 0.000], [0.183, 0.817, 0.780], [0.687, 0.686, 0.500], [0.313, 0.314, 0.500]]
}